{
  "formula": "Ba4AsCl5",
  "functional": "PBE-GGA",
  "state": "relaxed",
  "cell": [[9.446, -2.408, 0.000], [9.446, 2.408, 0.000], [-2.005, 0.000, 7.955]],
  "species": ["Ba", "Ba", "Ba", "Ba", "As", "Cl", "Cl", "Cl", "Cl", "Cl"],
  "frac_coords": [[0.065, 0.065, 0.302], [0.347, 0.347, 0.206], [0.653, 0.653, 0.794], [0.935, 0.935, 0.698], [0.500, 0.500, 0.500], [0.169, 0.169, 0.050], [0.196, 0.196, 0.604], [0.500, 0.500, 0.000], [0.804, 0.804, 0.396], [0.831, 0.831, 0.950]],
  "de_polymorph_mev_per_atom": 26,
  "n_ef_per_ev_cell": 0.000,
  "formation_energy_uncorrected_ev_per_atom": -2.17
}

{
  "formula": "Ac8Os3I4Br",
  "functional": "PBE-GGA",
  "state": "relaxed",
  "cell": [[4.503, 2.600, 8.535], [-4.503, 2.600, 8.535], [0.000, -5.199, 8.535]],
  "species": ["Ac", "Ac", "Ac", "Ac", "Ac", "Ac", "Ac", "Ac", "Os", "Os", "Os", "I", "I", "I", "I", "Br"],
  "frac_coords": [[0.198, 0.745, 0.745], [0.229, 0.229, 0.229], [0.255, 0.255, 0.802], [0.255, 0.802, 0.255], [0.745, 0.198, 0.745], [0.745, 0.745, 0.198], [0.771, 0.771, 0.771], [0.802, 0.255, 0.255], [0.000, 0.000, 0.500], [0.000, 0.500, 0.000], [0.500, 0.000, 0.000], [0.000, 0.000, 0.000], [0.000, 0.500, 0.500], [0.500, 0.000, 0.500], [0.500, 0.500, 0.000], [0.500, 0.500, 0.500]],
  "n_ef_per_ev_cell": 9.115,
  "formation_energy_uncorrected_ev_per_atom": -0.74
}

{
  "formula": "KNa2CuBr4",
  "functional": "PBE-GGA",
  "state": "relaxed",
  "cell": [[2.116, -7.240, 0.000], [2.116, 7.240, 0.000], [0.000, 0.000, 15.057]],
  "species": ["K", "K", "Na", "Na", "Na", "Na", "Cu", "Cu", "Br", "Br", "Br", "Br", "Br", "Br", "Br", "Br"],
  "frac_coords": [[0.115, 0.885, 0.750], [0.885, 0.115, 0.250], [0.371, 0.629, 0.553], [0.371, 0.629, 0.947], [0.629, 0.371, 0.053], [0.629, 0.371, 0.447], [0.161, 0.839, 0.250], [0.839, 0.161, 0.750], [0.000, 0.000, 0.000], [0.000, 0.000, 0.500], [0.264, 0.736, 0.119], [0.264, 0.736, 0.381], [0.432, 0.568, 0.750], [0.568, 0.432, 0.250], [0.736, 0.264, 0.619], [0.736, 0.264, 0.881]],
  "n_ef_per_ev_cell": 0.000,
  "formation_energy_uncorrected_ev_per_atom": -1.27
}

{
  "formula": "CeTl2Te",
  "functional": "PBE-GGA",
  "state": "relaxed",
  "cell": [[4.679, 0.000, 0.000], [0.000, 4.679, 0.000], [0.000, 0.000, 5.252]],
  "species": ["Ce", "Tl", "Tl", "Te"],
  "frac_coords": [[0.000, 0.000, 0.000], [0.000, 0.500, 0.500], [0.500, 0.000, 0.500], [0.500, 0.500, 0.000]],
  "n_ef_per_ev_cell": 6.614,
  "formation_energy_uncorrected_ev_per_atom": -0.50
}

{
  "formula": "Na3YRh",
  "functional": "PBE-GGA",
  "state": "relaxed",
  "cell": [[5.870, 0.000, 0.000], [0.000, 5.870, 0.000], [0.000, 0.000, 5.870]],
  "species": ["Na", "Na", "Na", "Y", "Rh"],
  "frac_coords": [[0.000, 0.000, 0.500], [0.000, 0.500, 0.000], [0.500, 0.000, 0.000], [0.000, 0.000, 0.000], [0.500, 0.500, 0.500]],
  "de_polymorph_mev_per_atom": 1007,
  "n_ef_per_ev_cell": 8.461
}

{
  "formula": "CrAg3Pt",
  "functional": "PBE-GGA",
  "state": "relaxed",
  "cell": [[5.071, 0.000, 0.000], [0.000, 5.071, 0.000], [0.000, 0.000, 5.071]],
  "species": ["Cr", "Ag", "Ag", "Ag", "Pt"],
  "frac_coords": [[0.000, 0.000, 0.000], [0.000, 0.500, 0.500], [0.500, 0.000, 0.500], [0.500, 0.500, 0.000], [0.500, 0.500, 0.500]],
  "de_polymorph_mev_per_atom": 0,
  "n_ef_per_ev_cell": 1.956
}

{
  "formula": "TcAg2Br",
  "functional": "PBE-GGA",
  "state": "relaxed",
  "cell": [[3.055, 0.000, 0.000], [0.000, 3.055, 0.000], [0.000, 0.000, 8.414]],
  "species": ["Tc", "Ag", "Ag", "Br"],
  "frac_coords": [[0.000, 0.000, 0.000], [0.000, 0.000, 0.465], [0.500, 0.500, 0.238], [0.500, 0.500, 0.837]],
  "de_polymorph_mev_per_atom": 74,
  "n_ef_per_ev_cell": 2.430,
  "formation_energy_uncorrected_ev_per_atom": 0.49
}

{
  "formula": "RbPdO3",
  "functional": "PBE-GGA",
  "state": "relaxed",
  "cell": [[4.305, 0.000, 0.000], [0.000, 4.305, 0.000], [0.000, 0.000, 4.305]],
  "species": ["Rb", "Pd", "O", "O", "O"],
  "frac_coords": [[0.000, 0.000, 0.000], [0.500, 0.500, 0.500], [0.000, 0.000, 0.500], [0.000, 0.500, 0.000], [0.500, 0.000, 0.000]],
  "n_ef_per_ev_cell": 5.702,
  "formation_energy_uncorrected_ev_per_atom": 1.46
}

> Which formula does entry 3 have?

KNa2CuBr4

> Number 1 is which compound?

Ba4AsCl5